Entry 1:
Density functional theory data (PBE) for a relaxed structure of Tb3CeTh2N6.

Calculated values
ΔE_f (raw): -19.29 eV per formula unit
Calculated total energy: -8.659 eV/atom
N(E_F): 4.67 states/eV/f.u.

Unit cell a=3.574 b=7.127 c=7.984 alpha=102.80 beta=102.93 gamma=90.00
Sites, in units of the cell vectors:
Tb1 0.500 0.500 0.000
Tb2 0.835 0.166 0.670
Tb3 0.165 0.834 0.330
Ce1 0.500 0.000 0.000
Th1 0.835 0.669 0.669
Th2 0.165 0.331 0.331
N1 0.333 0.918 0.667
N2 0.666 0.584 0.332
N3 0.667 0.082 0.333
N4 0.000 0.250 0.000
N5 0.000 0.750 0.000
N6 0.334 0.416 0.668

=====

Entry 2:
Density functional theory data (PBE) for a relaxed structure of Tb2CeThN4.

Calculated values
ΔE_f (raw): -12.81 eV per formula unit
Calculated total energy: -8.591 eV/atom
N(E_F): 3.79 states/eV/f.u.

Unit cell a=3.566 b=6.172 c=6.163 alpha=109.49 beta=90.00 gamma=90.00
Site moments in Bohr magnetons follow the coordinates.
Sites, in units of the cell vectors:
Tb1 0.500 0.000 0.500  0.01
Tb2 0.000 0.500 0.500  0.02
Ce1 0.000 0.000 0.000  0.31
Th1 0.500 0.500 0.000  0.02
N1 0.500 0.250 0.251  -0.01
N2 0.500 0.750 0.749  -0.01
N3 0.000 0.249 0.748  0.00
N4 0.000 0.751 0.252  0.00

=====

Entry 3:
Density functional theory data (PBE) for a relaxed structure of TbCeTh2N4.

Calculated values
ΔE_f (raw): -12.59 eV per formula unit
Calculated total energy: -8.911 eV/atom
N(E_F): 4.92 states/eV/f.u.

Unit cell a=3.604 b=6.249 c=6.231 alpha=109.47 beta=90.00 gamma=90.00
Sites, in units of the cell vectors:
Tb1 0.000 0.000 0.000
Ce1 0.500 0.500 0.000
Th1 0.500 0.000 0.500
Th2 0.000 0.500 0.500
N1 0.500 0.249 0.248
N2 0.500 0.751 0.752
N3 0.000 0.249 0.753
N4 0.000 0.751 0.247

=====

Entry 4:
Density functional theory data (PBE) for a relaxed structure of TbCe3Th2N6.

Calculated values
ΔE_f (raw): -18.68 eV per formula unit
Calculated total energy: -8.825 eV/atom
N(E_F): 9.74 states/eV/f.u.

Unit cell a=6.226 b=6.226 c=6.223 alpha=99.57 beta=99.57 gamma=120.02
Sites, in units of the cell vectors:
Tb1 0.000 0.000 0.000
Ce1 0.165 0.835 0.500
Ce2 0.835 0.165 0.500
Ce3 0.500 0.500 0.500
Th1 0.333 0.667 0.000
Th2 0.667 0.333 0.000
N1 0.917 0.586 0.751
N2 0.753 0.753 0.250
N3 0.083 0.414 0.249
N4 0.586 0.917 0.751
N5 0.247 0.247 0.750
N6 0.414 0.083 0.249